Record 1
{"formula": "Mg14VW", "functional": "GGA-PBE", "state": "optimized geometry", "total_magnetization_mub_per_atom": 0.12, "rho_g_cm3": 2.843, "e_form_ev_per_atom": 0.190, "lattice": [[3.044, -5.474, 0.000], [3.044, 5.474, 0.000], [0.000, 0.000, 10.079]], "species": ["Mg", "Mg", "Mg", "Mg", "Mg", "Mg", "Mg", "Mg", "Mg", "Mg", "Mg", "Mg", "Mg", "Mg", "V", "W"], "frac_coords": [[0.833, 0.167, 0.000], [0.332, 0.668, 0.000], [0.331, 0.169, 0.500], [0.330, 0.168, 0.000], [0.831, 0.669, 0.500], [0.832, 0.670, 0.000], [0.168, 0.339, 0.266], [0.168, 0.339, 0.734], [0.661, 0.832, 0.266], [0.661, 0.832, 0.734], [0.674, 0.326, 0.255], [0.674, 0.326, 0.745], [0.175, 0.825, 0.260], [0.175, 0.825, 0.740], [0.828, 0.172, 0.500], [0.327, 0.673, 0.500]]}

Record 2
{"formula": "TiBeHg3", "functional": "GGA-PBE", "state": "optimized geometry", "total_magnetization_mub_per_atom": 0.00, "rho_g_cm3": 10.929, "e_form_ev_per_atom": 0.504, "lattice": [[-2.916, -3.561, 0.611], [3.418, -2.464, 1.949], [-1.171, 1.674, 4.169]], "species": ["Be", "Hg", "Hg", "Hg", "Ti"], "frac_coords": [[0.000, 0.000, 0.000], [0.000, 0.500, 0.000], [0.000, 0.000, 0.500], [0.500, 0.000, 0.000], [0.500, 0.500, 0.500]]}

Record 3
{"formula": "LaCu4Os", "functional": "GGA-PBE", "state": "optimized geometry", "total_magnetization_mub_per_atom": 0.00, "rho_g_cm3": 10.533, "e_form_ev_per_atom": 0.149, "lattice": [[1.900, -1.445, 4.469], [-3.116, -1.109, 3.838], [-0.515, -4.800, 1.539]], "species": ["La", "Cu", "Cu", "Cu", "Cu", "Os"], "frac_coords": [[0.250, 0.250, 0.250], [0.627, 0.627, 0.119], [0.627, 0.119, 0.627], [0.627, 0.627, 0.627], [0.119, 0.627, 0.627], [0.000, 0.000, 0.000]]}